# 1
Crystalline Y2ZnAg at its relaxed geometry. Source: Alexandria, functional PBE.

Calculated values
**V**: 105 Å³ per cell
**ΔE_f**: -102 meV/atom
**N(E_F)**: 4.38 states/eV/f.u.
**Size of the total moment**: 0.00 μB/cell
**Energy**: -4.365 eV/atom

Cell: 4.731 4.731 6.590 Å, 76.38 76.38 47.39°
Element x y z (fractional)
Y  0.001  0.001  0.006
Y  0.499  0.499  0.494
Zn  0.250  0.250  0.250
Ag  0.750  0.750  0.750

# 2
Crystalline Y6ZnAg3 at its relaxed geometry. Source: Alexandria, functional PBE.

Calculated values
**V**: 520 Å³ per cell
**ΔE_f**: -214 meV/atom
**N(E_F)**: 8.84 states/eV/f.u.
**Size of the total moment**: 0.00 μB/cell
**Energy**: -5.076 eV/atom

Cell: 5.019 9.096 11.811 Å, 105.45 90.00 90.00°
Element x y z (fractional)
Y  0.750  0.342  0.292
Y  0.750  0.887  0.843
Y  0.250  0.272  0.481
Y  0.750  0.126  0.644
Y  0.250  0.513  0.114
Y  0.250  0.874  0.356
Y  0.250  0.658  0.708
Y  0.750  0.487  0.886
Y  0.250  0.148  0.882
Y  0.750  0.852  0.118
Y  0.750  0.728  0.519
Y  0.250  0.113  0.157
Ag  0.250  0.348  0.736
Ag  0.250  0.774  0.973
Ag  0.750  0.226  0.027
Ag  0.250  0.543  0.376
Ag  0.750  0.652  0.264
Ag  0.750  0.457  0.624
Zn  0.250  0.940  0.633
Zn  0.750  0.060  0.367

# 3
Crystalline Y7Zn2Ag2 at its relaxed geometry. Source: Alexandria, functional PBE.

Calculated values
**V**: 313 Å³ per cell
**ΔE_f**: 37 meV/atom
**N(E_F)**: 13.41 states/eV/f.u.
**Size of the total moment**: 0.00 μB/cell
**Energy**: -4.827 eV/atom

Cell: 6.639 7.575 6.639 Å, 90.00 110.60 90.00°
Element x y z (fractional)
Y  0.500  0.285  0.000
Y  0.000  0.285  0.500
Y  0.500  0.715  0.000
Y  0.500  0.272  0.500
Y  0.500  0.728  0.500
Y  0.000  0.715  0.500
Y  0.000  0.000  0.000
Zn  0.167  0.500  0.167
Zn  0.833  0.500  0.833
Ag  0.297  0.000  0.703
Ag  0.703  0.000  0.297

# 4
Crystalline YZn2Ag at its relaxed geometry. Source: Alexandria, functional PBE.

Calculated values
**V**: 77 Å³ per cell
**ΔE_f**: -265 meV/atom
**N(E_F)**: 1.80 states/eV/f.u.
**Size of the total moment**: 0.00 μB/cell
**Energy**: -3.231 eV/atom

Cell: 4.786 4.786 4.782 Å, 120.53 120.53 89.15°
Element x y z (fractional)
Zn  0.250  0.750  0.500
Zn  0.000  0.000  0.000
Y  0.750  0.250  0.500
Ag  0.500  0.500  0.000